Record 1
4
Lattice="-1.349 1.166 2.508 3.045 -1.806 2.477 2.972 4.399 -0.446" Properties=species:S:1:pos:R:3 comment="ZrTaTc2 PBE optimized geometry" formation_energy_mev_per_atom=56 dos_at_fermi_per_ev_atom=0.7151 total_energy_ev_per_fu=-40.91 total_magnetization_mub_per_fu=0.00 pbc="T T T"
Ta 3.205 3.169 2.138
Tc 2.855 4.226 -0.429
Tc 1.691 0.927 2.366
Zr 1.375 2.035 -0.206

***

Record 2
5
Lattice="3.839 0.000 0.000 0.000 3.839 0.000 0.000 0.000 3.786" Properties=species:S:1:pos:R:3 comment="TiZnN2F PBE optimized geometry" formation_energy_uncorrected_ev_per_atom=0.240 dos_at_fermi_per_ev_atom=0.6205 total_energy_ev_per_fu=-26.49 total_magnetization_mub_per_fu=0.14 pbc="T T T"
N 0.000 1.919 0.000
N 1.919 0.000 0.000
Zn 0.000 0.000 0.000
F 0.000 0.000 1.893
Ti 1.919 1.919 1.893

***

Record 3
4
Lattice="0.000 4.371 4.371 4.371 0.000 4.371 4.371 4.371 0.000" Properties=species:S:1:pos:R:3 comment="Cs2TeO PBE optimized geometry" formation_energy_uncorrected_ev_per_atom=-0.375 dos_at_fermi_per_ev_atom=1.5164 total_energy_ev_per_fu=-11.31 total_magnetization_mub_per_fu=2.00 pbc="T T T"
Cs 2.186 2.186 2.186
Cs 6.557 6.557 6.557
Te 4.371 4.371 4.371
O 0.000 0.000 0.000

***

Record 4
18
Lattice="4.769 -0.105 0.214 1.377 4.455 -0.027 0.500 1.970 8.086" Properties=species:S:1:pos:R:3 comment="Fe4RuN4 PBE optimized geometry" formation_energy_uncorrected_ev_per_atom=0.207 dos_at_fermi_per_ev_atom=0.8368 total_energy_ev_per_fu=-74.57 total_magnetization_mub_per_fu=1.58 pbc="T T T"
Ru 5.313 5.245 6.627
Ru 1.333 1.074 1.646
Fe 4.284 2.981 1.975
Fe 2.362 3.338 6.298
Fe 4.572 2.981 7.952
Fe 2.074 3.339 0.321
Fe 4.693 2.977 5.169
Fe 1.953 3.342 3.104
Fe 2.839 5.403 4.377
Fe 3.807 0.917 3.896
N 1.439 4.239 4.831
N 5.207 2.081 3.441
N 5.063 3.719 0.445
N 1.583 2.601 7.828
N 3.604 4.370 7.082
N 3.042 1.949 1.191
N 3.760 4.439 3.010
N 2.886 1.881 5.263

***

Record 5
4
Lattice="-0.927 4.475 1.789 0.064 0.767 4.846 3.615 2.633 2.020" Properties=species:S:1:pos:R:3 comment="PmCrGeAu PBE optimized geometry" formation_energy_mev_per_atom=-286 dos_at_fermi_per_ev_atom=0.2429 total_energy_ev_per_fu=-23.41 total_magnetization_mub_per_fu=4.13 pbc="T T T"
Cr 1.376 3.937 4.327
Ge 0.688 1.969 2.164
Au 2.064 5.906 6.491
Pm 0.000 0.000 0.000

***

Record 6
5
Lattice="-2.390 -0.818 2.886 0.520 -3.747 -0.632 10.078 2.274 6.445" Properties=species:S:1:pos:R:3 comment="La2Ce2Nd PBE optimized geometry" formation_energy_mev_per_atom=345 dos_at_fermi_per_ev_atom=2.3781 total_energy_ev_per_fu=-24.77 total_magnetization_mub_per_fu=0.00 pbc="T T T"
La 7.179 -0.007 5.945
La 1.028 -2.284 2.753
Ce 3.376 -0.413 5.229
Ce 4.831 -1.878 3.470
Nd 0.000 0.000 0.000

***

Record 7
5
Lattice="5.179 0.000 0.000 0.000 6.262 0.000 0.000 0.000 5.179" Properties=species:S:1:pos:R:3 comment="TlSi2AgTe PBE optimized geometry" formation_energy_uncorrected_ev_per_atom=1.114 dos_at_fermi_per_ev_atom=0.7900 total_energy_ev_per_fu=-13.64 total_magnetization_mub_per_fu=0.00 pbc="T T T"
Tl 0.000 3.131 0.000
Te 0.000 0.000 0.000
Si 0.000 0.000 2.590
Si 2.590 0.000 0.000
Ag 2.590 3.131 2.590

***

Record 8
4
Lattice="5.222 0.000 0.000 2.611 4.523 0.000 2.611 1.508 4.264" Properties=species:S:1:pos:R:3 comment="NaErBiAu PBE optimized geometry" formation_energy_mev_per_atom=-563 dos_at_fermi_per_ev_atom=0.0505 total_energy_ev_per_fu=-15.29 total_magnetization_mub_per_fu=0.00 pbc="T T T"
Na 2.611 1.508 1.066
Au 0.000 0.000 0.000
Bi 5.222 3.015 2.132
Er 7.833 4.523 3.198

***

Record 9
4
Lattice="4.242 0.000 0.000 0.000 2.920 0.056 0.000 2.570 5.796" Properties=species:S:1:pos:R:3 comment="Li2AlCd PBE optimized geometry" formation_energy_mev_per_atom=-151 dos_at_fermi_per_ev_atom=0.2786 total_energy_ev_per_fu=-9.09 total_magnetization_mub_per_fu=0.00 pbc="T T T"
Li 0.000 2.911 0.129
Li 0.000 2.754 2.853
Al 2.121 1.373 1.463
Cd 2.121 4.118 4.389

***

Record 10
5
Lattice="5.215 0.000 0.000 0.000 5.215 0.000 0.000 0.000 5.375" Properties=species:S:1:pos:R:3 comment="ScAlSb2Te PBE optimized geometry" formation_energy_uncorrected_ev_per_atom=0.280 dos_at_fermi_per_ev_atom=0.9292 total_energy_ev_per_fu=-20.06 total_magnetization_mub_per_fu=0.00 pbc="T T T"
Sc 2.608 2.608 2.688
Sb 0.000 2.608 0.000
Sb 2.608 0.000 0.000
Te 0.000 0.000 2.688
Al 0.000 0.000 0.000

***

Record 11
4
Lattice="-1.170 -1.119 5.291 -0.857 -5.228 1.599 3.733 -2.569 3.176" Properties=species:S:1:pos:R:3 comment="BaMoCl2 PBE optimized geometry" formation_energy_uncorrected_ev_per_atom=-0.099 dos_at_fermi_per_ev_atom=0.0560 total_energy_ev_per_fu=-16.84 total_magnetization_mub_per_fu=6.00 pbc="T T T"
Mo 1.280 -6.687 7.549
Ba 0.853 -4.458 5.033
Cl 0.000 0.000 0.000
Cl 0.427 -2.229 2.516

***

Record 12
6
Lattice="-4.581 0.542 1.756 -3.356 2.524 -2.596 -3.761 -2.375 -2.141" Properties=species:S:1:pos:R:3 comment="CaScBe4 PBE optimized geometry" formation_energy_mev_per_atom=148 dos_at_fermi_per_ev_atom=0.5140 total_energy_ev_per_fu=-22.35 total_magnetization_mub_per_fu=0.00 pbc="T T T"
Ca -8.773 0.518 -2.235
Sc 0.000 0.000 0.000
Be -6.707 0.536 -0.195
Be -6.282 -0.974 -2.213
Be -6.072 1.562 -2.448
Be -4.335 0.256 -1.104

***

Record 13
8
Lattice="6.237 0.270 0.000 1.788 6.091 0.000 0.894 3.046 4.992" Properties=species:S:1:pos:R:3 comment="Mg6PtAu PBE optimized geometry" formation_energy_mev_per_atom=-239 dos_at_fermi_per_ev_atom=0.4002 total_energy_ev_per_fu=-20.80 total_magnetization_mub_per_fu=0.00 pbc="T T T"
Mg 6.018 4.847 3.098
Mg 5.124 1.802 1.894
Mg 3.795 7.605 3.098
Mg 2.901 4.559 1.894
Mg 6.000 4.736 0.000
Mg 2.025 1.625 0.000
Pt 4.013 3.180 0.000
Au 0.000 0.000 0.000

***

Record 14
12
Lattice="-6.063 2.238 -1.608 -0.662 -4.854 -4.520 -3.334 -5.308 6.611" Properties=species:S:1:pos:R:3 comment="BaNa2PaCl8 PBE optimized geometry" formation_energy_uncorrected_ev_per_atom=-1.991 dos_at_fermi_per_ev_atom=0.0348 total_energy_ev_per_fu=-52.72 total_magnetization_mub_per_fu=1.01 pbc="T T T"
Ba -1.667 -2.654 3.305
Na -4.129 -2.704 -1.143
Na -5.929 -5.219 1.625
Pa 0.000 0.000 0.000
Cl -8.214 -7.053 2.147
Cl -4.396 -7.669 1.192
Cl -7.536 -3.268 3.084
Cl -1.845 -0.870 -1.664
Cl -5.663 -0.254 -0.710
Cl -2.522 -4.655 -2.602
Cl -6.325 -4.311 -0.915
Cl -3.733 -3.612 1.397

***

Record 15
8
Lattice="0.000 3.848 3.848 3.848 0.000 3.848 3.848 3.848 0.000" Properties=species:S:1:pos:R:3 comment="TcP7 PBE optimized geometry" formation_energy_mev_per_atom=730 dos_at_fermi_per_ev_atom=0.5069 total_energy_ev_per_fu=-42.40 total_magnetization_mub_per_fu=0.00 pbc="T T T"
Tc 0.000 0.000 0.000
P 1.924 1.924 3.848
P 1.924 3.848 1.924
P 0.000 1.924 1.924
P 1.924 1.924 0.000
P 1.924 0.000 1.924
P 3.848 1.924 1.924
P 3.848 3.848 3.848

***

Record 16
4
Lattice="2.970 -0.004 0.000 -1.314 2.664 0.000 0.000 0.000 10.397" Properties=species:S:1:pos:R:3 comment="KIr2Pb PBE optimized geometry" formation_energy_mev_per_atom=914 dos_at_fermi_per_ev_atom=1.3894 total_energy_ev_per_fu=-18.87 total_magnetization_mub_per_fu=0.00 pbc="T T T"
Ir 0.000 0.000 10.227
Ir 0.000 0.000 5.368
K 0.828 1.330 2.599
Pb 0.828 1.330 7.797

***

Record 17
4
Lattice="3.758 0.000 0.000 0.000 4.155 0.000 0.000 0.000 8.139" Properties=species:S:1:pos:R:3 comment="BaMg2Pb PBE optimized geometry" formation_energy_mev_per_atom=-167 dos_at_fermi_per_ev_atom=0.5906 total_energy_ev_per_fu=-9.49 total_magnetization_mub_per_fu=0.00 pbc="T T T"
Ba 1.879 2.077 6.065
Mg 0.000 0.000 0.495
Mg 1.879 2.077 2.036
Pb 0.000 0.000 3.612

***

Record 18
14
Lattice="-1.837 -7.004 -2.840 7.631 0.661 1.348 -3.766 0.966 6.751" Properties=species:S:1:pos:R:3 comment="Dy4SbPd2 PBE optimized geometry" formation_energy_uncorrected_ev_per_atom=-0.754 dos_at_fermi_per_ev_atom=0.9728 total_energy_ev_per_fu=-38.19 total_magnetization_mub_per_fu=0.00 pbc="T T T"
Dy -1.377 -6.418 0.152
Dy 2.189 -2.155 1.197
Dy 0.725 -5.042 2.483
Dy -3.116 -4.439 3.056
Dy -1.642 -2.522 0.638
Dy -2.213 -0.978 4.589
Dy 1.403 -2.158 5.595
Dy 2.679 -5.465 -0.864
Sb 3.380 -0.771 3.676
Sb 2.028 -5.376 5.258
Pd -0.478 -2.726 3.361
Pd 3.958 -4.238 1.526
Pd 0.334 -4.072 -0.489
Pd 0.242 0.283 6.120

***

Record 19
12
Lattice="7.778 0.000 0.000 0.000 7.655 0.000 -3.889 -3.827 9.237" Properties=species:S:1:pos:R:3 comment="Rb3TlTe2 PBE optimized geometry" formation_energy_uncorrected_ev_per_atom=-0.804 total_energy_ev_per_fu=-16.38 total_magnetization_mub_per_fu=0.00 pbc="T T T"
Rb 1.781 3.827 3.314
Rb 2.108 0.000 5.922
Rb -2.108 3.827 5.922
Rb 5.997 0.000 3.314
Rb 3.889 5.741 0.000
Rb 3.889 1.914 0.000
Tl 0.000 1.914 0.000
Tl 0.000 5.741 0.000
Te 1.853 0.000 2.257
Te 2.036 3.827 6.979
Te -2.036 0.000 6.979
Te 5.925 3.827 2.257

***

Record 20
4
Lattice="3.373 0.000 0.000 0.000 3.373 0.000 0.000 0.000 6.139" Properties=species:S:1:pos:R:3 comment="FeAgTePd PBE optimized geometry" formation_energy_uncorrected_ev_per_atom=0.188 dos_at_fermi_per_ev_atom=0.9123 total_energy_ev_per_fu=-18.90 total_magnetization_mub_per_fu=2.56 pbc="T T T"
Te 0.000 0.000 1.289
Pd 1.687 1.687 5.800
Ag 0.000 0.000 4.239
Fe 1.687 1.687 2.688

***

Record 21
12
Lattice="-3.447 1.708 -6.109 -2.997 -4.633 4.655 -0.917 6.148 3.661" Properties=species:S:1:pos:R:3 comment="NaCa3Y2Se6 PBE optimized geometry" formation_energy_uncorrected_ev_per_atom=-1.867 dos_at_fermi_per_ev_atom=0.2974 total_energy_ev_per_fu=-63.56 total_magnetization_mub_per_fu=0.00 pbc="T T T"
Na 0.000 0.000 0.000
Ca -3.530 -0.518 4.718
Ca -3.832 3.741 -2.512
Ca -3.681 1.612 1.103
Y -3.147 -2.523 1.072
Y -3.298 -0.403 -2.526
Se -5.583 3.534 -0.162
Se -4.997 -0.662 -0.181
Se -1.778 -0.311 2.369
Se -5.430 1.370 3.511
Se -2.364 3.885 2.388
Se -1.932 1.853 -1.304